Record 1
NaSn2Pt PBE relaxed; ρ = 6.2 Mg/m³; DOS at the Fermi energy = 4.50 states/eV per cell; formation energy = -48 meV/atom; magnetic moment = 0.000 μB per atom; E = -3.89 eV/atom
1.0
5.2041 0.0000 0.0000
0.0000 5.2041 0.0000
2.6020 2.6020 8.9451
Na Sn Pt
2 4 2
direct
0.5000 0.5000 0.0000
0.2500 0.7500 0.5000
0.7351 0.1250 0.2500
0.0149 0.6250 0.2500
0.3750 0.2649 0.7500
0.8750 0.9851 0.7500
0.0000 0.0000 0.0000
0.7500 0.2500 0.5000

=====

Record 2
NaSn2Pt PBE relaxed; ρ = 8.2 Mg/m³; DOS at the Fermi energy = 13.57 states/eV per cell; formation energy = -416 meV/atom; magnetic moment = 0.000 μB per atom; E = -4.26 eV/atom
1.0
-1.1277 3.7699 -4.3059
-6.9046 -3.3430 -1.1186
-6.7348 10.3018 10.7831
Na Sn Pt
8 16 8
direct
0.4797 0.2500 0.1421
0.9797 0.7500 0.3579
0.5203 0.7500 0.8579
0.0203 0.2500 0.6421
0.7551 0.2500 0.3900
0.2551 0.7500 0.1100
0.2449 0.7500 0.6100
0.7449 0.2500 0.8900
0.9894 0.0474 0.2139
0.4894 0.9526 0.2861
0.0106 0.5474 0.7861
0.5106 0.4526 0.7139
0.0106 0.9526 0.7861
0.5106 0.0474 0.7139
0.9894 0.4526 0.2139
0.4894 0.5474 0.2861
0.7497 0.5448 0.0332
0.2497 0.4552 0.4668
0.2503 0.0448 0.9668
0.7503 0.9552 0.5332
0.2503 0.4552 0.9668
0.7503 0.5448 0.5332
0.7497 0.9552 0.0332
0.2497 0.0448 0.4668
0.2403 0.2500 0.3288
0.7403 0.7500 0.1712
0.7597 0.7500 0.6712
0.2597 0.2500 0.8288
0.9950 0.2500 0.0742
0.4950 0.7500 0.4258
0.0050 0.7500 0.9258
0.5050 0.2500 0.5742

=====

Record 3
Na6Sn2Pt PBE relaxed; ρ = 3.8 Mg/m³; DOS at the Fermi energy = 4.07 states/eV per cell; formation energy = -215 meV/atom; excess energy over the best structure of this formula in the dataset = 0.0 kJ per mole of atoms; magnetic moment = 0.000 μB per atom; E = -2.65 eV/atom
1.0
-4.2754 2.5627 -1.9216
-3.1247 -2.3665 -3.6297
-8.1248 -3.8215 5.5546
Na Sn Pt
6 2 1
direct
0.5845 0.5845 0.2465
0.8074 0.8074 0.5778
0.6936 0.6936 0.9193
0.1926 0.1926 0.4222
0.4155 0.4155 0.7535
0.3064 0.3064 0.0807
0.9143 0.9143 0.2572
0.0857 0.0857 0.7428
0.0000 0.0000 0.0000

=====

Record 4
NaSn2Pt PBE relaxed; ρ = 8.2 Mg/m³; DOS at the Fermi energy = 0.94 states/eV per cell; formation energy = -356 meV/atom; magnetic moment = 0.000 μB per atom; E = -4.20 eV/atom
1.0
-2.9170 -1.6650 -0.2477
0.5453 -1.4035 3.0125
-3.8644 6.2343 3.6040
Na Sn Pt
1 2 1
direct
0.5000 0.5000 0.5000
0.0000 0.0000 0.7996
0.0000 0.0000 0.2004
0.5000 0.5000 0.0000

=====

Record 5
NaSn3Pt3 PBE relaxed; ρ = 9.2 Mg/m³; DOS at the Fermi energy = 2.42 states/eV per cell; formation energy = -345 meV/atom; excess energy over the best structure of this formula in the dataset = 0.0 kJ per mole of atoms; magnetic moment = 0.000 μB per atom; E = -4.84 eV/atom
1.0
7.3330 0.0000 0.0000
3.6665 6.3506 0.0000
3.6665 2.1169 7.5144
Na Sn Pt
2 6 6
direct
0.3424 0.3424 0.9727
0.6576 0.6576 0.0273
0.1532 0.5823 0.2922
0.9723 0.1532 0.2922
0.5823 0.9723 0.2922
0.4177 0.0277 0.7078
0.0277 0.8468 0.7078
0.8468 0.4177 0.7078
0.4574 0.6936 0.6442
0.6936 0.2048 0.6442
0.2048 0.4574 0.6442
0.7952 0.5426 0.3558
0.3064 0.7952 0.3558
0.5426 0.3064 0.3558

=====

Record 6
NaSn3Pt3 PBE relaxed; ρ = 7.9 Mg/m³; DOS at the Fermi energy = 3.65 states/eV per cell; formation energy = -249 meV/atom; excess energy over the best structure of this formula in the dataset = 9.3 kJ per mole of atoms; magnetic moment = 0.000 μB per atom; E = -4.74 eV/atom
1.0
7.3961 0.0000 0.0000
0.0000 7.3961 0.0000
0.0000 0.0000 7.3961
Na Sn Pt
2 6 6
direct
0.5000 0.5000 0.5000
0.0000 0.0000 0.0000
0.2500 0.0000 0.5000
0.0000 0.5000 0.2500
0.5000 0.7500 0.0000
0.7500 0.0000 0.5000
0.0000 0.5000 0.7500
0.5000 0.2500 0.0000
0.0000 0.2500 0.5000
0.0000 0.7500 0.5000
0.5000 0.0000 0.7500
0.7500 0.5000 0.0000
0.5000 0.0000 0.2500
0.2500 0.5000 0.0000

=====

Question: Which formula does entry 3 have?
Answer: Na6Sn2Pt

=====

Please write out number 2 again, unchanged.
NaSn2Pt PBE relaxed; ρ = 8.2 Mg/m³; DOS at the Fermi energy = 13.57 states/eV per cell; formation energy = -416 meV/atom; magnetic moment = 0.000 μB per atom; E = -4.26 eV/atom
1.0
-1.1277 3.7699 -4.3059
-6.9046 -3.3430 -1.1186
-6.7348 10.3018 10.7831
Na Sn Pt
8 16 8
direct
0.4797 0.2500 0.1421
0.9797 0.7500 0.3579
0.5203 0.7500 0.8579
0.0203 0.2500 0.6421
0.7551 0.2500 0.3900
0.2551 0.7500 0.1100
0.2449 0.7500 0.6100
0.7449 0.2500 0.8900
0.9894 0.0474 0.2139
0.4894 0.9526 0.2861
0.0106 0.5474 0.7861
0.5106 0.4526 0.7139
0.0106 0.9526 0.7861
0.5106 0.0474 0.7139
0.9894 0.4526 0.2139
0.4894 0.5474 0.2861
0.7497 0.5448 0.0332
0.2497 0.4552 0.4668
0.2503 0.0448 0.9668
0.7503 0.9552 0.5332
0.2503 0.4552 0.9668
0.7503 0.5448 0.5332
0.7497 0.9552 0.0332
0.2497 0.0448 0.4668
0.2403 0.2500 0.3288
0.7403 0.7500 0.1712
0.7597 0.7500 0.6712
0.2597 0.2500 0.8288
0.9950 0.2500 0.0742
0.4950 0.7500 0.4258
0.0050 0.7500 0.9258
0.5050 0.2500 0.5742

=====

Question: Number 2 is which compound?
Answer: NaSn2Pt